The following is a GGA-PBE calculation of an optimized crystal structure of Cs2HgI2, from Alexandria.

Calculated values
The energy is -10.6 eV per formula unit. The calculation puts the calculated volume at 79.31 Å³ per atom. For the density, the calculation gives 3.0 Mg/m³. As for the total magnetization: 0.000 μB/cell.

Cell and atoms, written as POSCAR:
```
Cs2HgI2
1.0
-1.417 -7.041 -1.820
7.161 -1.675 0.905
1.632 -5.904 6.488
Cs I Hg
2 2 1
direct
0.298 0.298 0.404
0.702 0.702 0.596
0.750 0.250 0.500
0.250 0.750 0.500
0.000 0.000 0.000
```

The following is a GGA-PBE calculation of an optimized crystal structure of Li3ReBr, from Alexandria.

Calculated values
The energy is -16.6 eV per formula unit. The calculation puts the calculated volume at 20.99 Å³ per atom. For the density, the calculation gives 4.5 Mg/m³. As for the total magnetization: 3.202 μB/cell.

Cell and atoms, written as POSCAR:
```
Li3ReBr
1.0
-4.589 -1.070 0.213
1.088 -4.429 1.204
-0.073 1.220 4.556
Re Br Li
1 1 3
direct
0.500 0.500 0.500
0.000 0.000 0.000
0.000 0.500 0.000
0.000 0.000 0.500
0.500 0.000 0.000
```

The following is a GGA-PBE calculation of an optimized crystal structure of KMg3Co, from Alexandria.

Calculated values
The calculation puts the calculated volume at 52.75 Å³ per atom. For the density, the calculation gives 1.1 Mg/m³. As for the total magnetization: 2.110 μB/cell. The calculation puts the formation energy from the elements at 156 kJ/mol of atoms.

Cell and atoms, written as POSCAR:
```
KMg3Co
1.0
6.413 0.000 0.000
0.000 6.413 0.000
0.000 0.000 6.413
K Co Mg
1 1 3
direct
0.000 0.000 0.000
0.500 0.500 0.500
0.000 0.500 0.000
0.000 0.000 0.500
0.500 0.000 0.000
```

The following is a GGA-PBE calculation of an optimized crystal structure of PmNdGdAl, from Alexandria.

Calculated values
The calculation puts the calculated volume at 28.74 Å³ per atom. For the density, the calculation gives 6.8 Mg/m³. As for the total magnetization: 7.841 μB/cell. The calculation puts the formation energy from the elements at -7 kJ/mol of atoms.

Cell and atoms, written as POSCAR:
```
PmNdGdAl
1.0
5.458 0.000 0.000
2.729 4.727 0.000
2.729 1.576 4.456
Gd Nd Al Pm
1 1 1 1
direct
0.750 0.750 0.750
0.000 0.000 0.000
0.250 0.250 0.250
0.500 0.500 0.500
```

The following is a GGA-PBE calculation of an optimized crystal structure of SrAsCl2, from Alexandria.

Calculated values
The energy is -13.8 eV per formula unit. The calculation puts the calculated volume at 24.14 Å³ per atom. For the density, the calculation gives 4.0 Mg/m³. As for the total magnetization: 0.211 μB/cell.

Cell and atoms, written as POSCAR:
```
SrAsCl2
1.0
-3.764 1.249 -1.444
0.799 -2.333 -4.099
-2.011 -3.929 1.845
Sr As Cl
1 1 2
direct
0.500 0.500 0.000
0.500 0.000 0.500
0.000 0.000 0.000
0.000 0.500 0.500
```

The following is a GGA-PBE calculation of an optimized crystal structure of GeH2Os, from Alexandria.

Calculated values
The energy is -18.2 eV per formula unit. The calculation puts the calculated volume at 9.38 Å³ per atom. For the density, the calculation gives 11.7 Mg/m³. As for the total magnetization: 0.000 μB/cell.

Cell and atoms, written as POSCAR:
```
GeH2Os
1.0
0.000 2.657 2.657
2.657 0.000 2.657
2.657 2.657 0.000
H Ge Os
2 1 1
direct
0.250 0.250 0.250
0.750 0.750 0.750
0.000 0.000 0.000
0.500 0.500 0.500
```

The following is a GGA-PBE calculation of an optimized crystal structure of Ta2NbHOs, from Alexandria.

Calculated values
The energy is -49.0 eV per formula unit. The calculation puts the calculated volume at 14.24 Å³ per atom. For the density, the calculation gives 15.1 Mg/m³. As for the total magnetization: 0.000 μB/cell.

Cell and atoms, written as POSCAR:
```
Ta2NbHOs
1.0
4.500 0.000 0.000
0.000 4.500 0.000
0.000 0.000 3.517
H Nb Os Ta
1 1 1 2
direct
0.000 0.000 0.000
0.500 0.500 0.500
0.000 0.000 0.500
0.000 0.500 0.000
0.500 0.000 0.000
```

The following is a GGA-PBE calculation of an optimized crystal structure of NiRuC, from Alexandria.

Calculated values
The calculation puts the calculated volume at 10.40 Å³ per atom. For the density, the calculation gives 9.1 Mg/m³. As for the total magnetization: 0.000 μB/cell. The calculation puts the formation energy from the elements at 35 kJ/mol of atoms.

Cell and atoms, written as POSCAR:
```
NiRuC
1.0
2.737 0.000 0.000
-1.368 2.370 0.000
0.000 0.000 9.624
Ru C Ni
2 2 2
direct
0.000 0.000 0.760
0.333 0.667 0.259
0.667 0.333 0.900
0.000 0.000 0.398
0.333 0.667 0.525
0.000 0.000 0.027
```

The following is a GGA-PBE calculation of an optimized crystal structure of Ti5InTc4, from Alexandria.

Calculated values
The calculation puts the calculated volume at 15.87 Å³ per atom. For the density, the calculation gives 7.8 Mg/m³. As for the total magnetization: 0.000 μB/cell. The calculation puts the formation energy from the elements at -44 kJ/mol of atoms.

Cell and atoms, written as POSCAR:
```
Ti5InTc4
1.0
3.156 0.000 0.000
0.000 3.156 0.000
0.000 0.000 15.933
Ti In Tc
5 1 4
direct
0.500 0.500 0.123
0.500 0.500 0.309
0.500 0.500 0.500
0.500 0.500 0.691
0.500 0.500 0.877
0.000 0.000 0.000
0.000 0.000 0.207
0.000 0.000 0.403
0.000 0.000 0.597
0.000 0.000 0.793
```

The following is a GGA-PBE calculation of an optimized crystal structure of Ca2ZnSnF8, from Alexandria.

Calculated values
The energy is -60.8 eV per formula unit. The calculation puts the calculated volume at 14.09 Å³ per atom. For the density, the calculation gives 4.1 Mg/m³. As for the total magnetization: 0.000 μB/cell.

Cell and atoms, written as POSCAR:
```
Ca2ZnSnF8
1.0
4.055 -0.212 -0.002
-0.204 5.462 -0.006
0.004 0.008 7.650
Ca Zn Sn F
2 1 1 8
direct
0.500 0.500 0.763
0.500 0.500 0.237
0.000 0.000 0.000
0.000 0.000 0.500
0.042 0.753 0.225
0.571 0.765 0.000
0.958 0.247 0.225
0.958 0.247 0.775
0.429 0.235 0.000
0.042 0.753 0.775
0.498 0.734 0.500
0.502 0.266 0.500
```

The following is a GGA-PBE calculation of an optimized crystal structure of HoTh4Ge4, from Alexandria.

Calculated values
The calculation puts the calculated volume at 29.57 Å³ per atom. For the density, the calculation gives 8.6 Mg/m³. As for the total magnetization: 0.000 μB/cell. The calculation puts the formation energy from the elements at -58 kJ/mol of atoms.

Cell and atoms, written as POSCAR:
```
HoTh4Ge4
1.0
6.025 0.000 0.000
0.000 9.399 0.000
0.000 0.000 9.399
Ho Th Ge
2 8 8
direct
0.000 0.000 0.000
0.500 0.500 0.500
0.499 0.298 0.901
0.999 0.599 0.798
0.499 0.702 0.099
0.001 0.202 0.599
0.501 0.901 0.702
0.001 0.798 0.401
0.999 0.401 0.202
0.501 0.099 0.298
0.501 0.795 0.404
0.501 0.205 0.596
0.001 0.904 0.705
0.999 0.295 0.904
0.999 0.705 0.096
0.499 0.404 0.205
0.499 0.596 0.795
0.001 0.096 0.295
```

The following is a GGA-PBE calculation of an optimized crystal structure of NbCrW, from Alexandria.

Calculated values
The calculation puts the calculated volume at 15.40 Å³ per atom. For the density, the calculation gives 11.8 Mg/m³. As for the total magnetization: 0.000 μB/cell. The calculation puts the formation energy from the elements at 8 kJ/mol of atoms.

Cell and atoms, written as POSCAR:
```
NbCrW
1.0
-2.429 1.018 1.671
-1.477 -2.700 -0.503
3.907 -3.603 7.874
Nb Cr W
2 2 2
direct
0.523 0.392 0.743
0.023 0.892 0.929
0.023 0.892 0.261
0.523 0.392 0.411
0.523 0.392 0.108
0.023 0.892 0.564
```

Copy entry 1 word for word.
The following is a GGA-PBE calculation of an optimized crystal structure of Cs2HgI2, from Alexandria.

Calculated values
The energy is -10.6 eV per formula unit. The calculation puts the calculated volume at 79.31 Å³ per atom. For the density, the calculation gives 3.0 Mg/m³. As for the total magnetization: 0.000 μB/cell.

Cell and atoms, written as POSCAR:
```
Cs2HgI2
1.0
-1.417 -7.041 -1.820
7.161 -1.675 0.905
1.632 -5.904 6.488
Cs I Hg
2 2 1
direct
0.298 0.298 0.404
0.702 0.702 0.596
0.750 0.250 0.500
0.250 0.750 0.500
0.000 0.000 0.000
```